[1]
# BaU2SeO4 | the Alexandria database | PBE-GGA | optimized geometry
# * uncorrected formation energy: -2.68 eV/atom
# * E: -8.661 eV per atom
# * spin magnetization: 3.9 μB per formula unit
data_BaU2SeO4
_chemical_formula_sum 'Ba1 U2 Se1 O4'
_cell_length_a 3.909
_cell_length_b 3.909
_cell_length_c 9.513
_cell_angle_alpha 90.00
_cell_angle_beta 90.00
_cell_angle_gamma 90.00
_space_group_name_H-M_alt 'P 4/m m m'
_space_group_IT_number 123
_space_group_name_Hall '-P 4 2'
loop_
_atom_site_label
_atom_site_fract_x
_atom_site_fract_y
_atom_site_fract_z
Ba1 0.000 0.000 0.000
U1 0.500 0.500 0.301
Se1 0.000 0.000 0.500
O1 0.000 0.500 0.200

---

[2]
# BaUSe2O | the Alexandria database | PBE-GGA | optimized geometry
# * uncorrected formation energy: -2.11 eV/atom
# * E: -7.133 eV per atom
# * spin magnetization: 2.0 μB per formula unit
data_BaUSe2O
_chemical_formula_sum 'Ba2 U2 Se4 O2'
_cell_length_a 7.529
_cell_length_b 4.257
_cell_length_c 9.054
_cell_angle_alpha 90.00
_cell_angle_beta 107.68
_cell_angle_gamma 90.00
_space_group_name_H-M_alt 'P 1 21/m 1'
_space_group_IT_number 11
_space_group_name_Hall '-P 2yb'
loop_
_atom_site_label
_atom_site_fract_x
_atom_site_fract_y
_atom_site_fract_z
Ba1 0.179 0.250 0.305
U1 0.313 0.250 0.823
Se1 0.280 0.750 0.035
Se2 0.348 0.750 0.619
O1 0.042 0.250 0.736

---

[3]
# Ba2USe3O3 | the Alexandria database | PBE-GGA | optimized geometry
# * uncorrected formation energy: -1.80 eV/atom
# * E: -6.292 eV per atom
# * spin magnetization: 0.0 μB per formula unit
data_Ba2USe3O3
_chemical_formula_sum 'Ba2 U1 Se3 O3'
_cell_length_a 9.0307
_cell_length_b 9.0307
_cell_length_c 3.2414
_cell_angle_alpha 90.00
_cell_angle_beta 90.00
_cell_angle_gamma 120.00
_space_group_name_H-M_alt 'P -6 2 m'
_space_group_IT_number 189
_space_group_name_Hall 'P -6 -2'
loop_
_atom_site_label
_atom_site_fract_x
_atom_site_fract_y
_atom_site_fract_z
Ba1 0.3333 0.6667 0.0000
U1 0.0000 0.0000 0.5000
Se1 0.0000 0.3879 0.5000
O1 0.0000 0.8417 0.0000

---

[4]
# Ba3U2Se2O5 | the Alexandria database | PBE-GGA | optimized geometry
# * uncorrected formation energy: -2.67 eV/atom
# * E: -7.684 eV per atom
# * spin magnetization: 4.0 μB per formula unit
data_Ba3U2Se2O5
_chemical_formula_sum 'Ba6 U4 Se4 O10'
_cell_length_a 4.501
_cell_length_b 4.501
_cell_length_c 26.237
_cell_angle_alpha 90.00
_cell_angle_beta 90.00
_cell_angle_gamma 90.00
_space_group_name_H-M_alt 'I 4/m m m'
_space_group_IT_number 139
_space_group_name_Hall '-I 4 2'
loop_
_atom_site_label
_atom_site_fract_x
_atom_site_fract_y
_atom_site_fract_z
Ba1 0.000 0.000 0.000
Ba2 0.000 0.000 0.177
U1 0.000 0.000 0.417
Se1 0.000 0.000 0.304
O1 0.000 0.000 0.500
O2 0.000 0.500 0.080

---

Q: spin magnetization of number 2 (BaUSe2O)?
A: 2.0 μB per formula unit